MnHgAu2 after structural relaxation. Source: Alexandria, functional GGA-PBE.

a = 3.151 Å, b = 3.238 Å, c = 7.245 Å
α = 90.00°, β = 90.08°, γ = 90.00°
Space group P2/m (No. 10)
Inequivalent atoms, fractional coordinates:
Mn: 0.000 0.000 0.000 (multiplicity 1)
Hg: 0.000 0.000 0.500 (multiplicity 1)
Au: 0.499 0.500 0.781 (multiplicity 2)

Summary:
The calculated total energy is -4.003 eV/atom. The formation energy from the elements comes out at 3.0 meV per atom. As for the calculated volume: 18.479 Å³/atom. The magnetic moment comes out at 4.2 μB/cell.


LiEuYCd after structural relaxation. Source: Alexandria, functional GGA-PBE.

a = 7.656 Å, b = 7.656 Å, c = 7.656 Å
α = 90.00°, β = 90.00°, γ = 90.00°
Space group F-43m (No. 216)
Inequivalent atoms, fractional coordinates:
Li: 0.000 0.000 0.000 (multiplicity 4)
Eu: 0.250 0.250 0.750 (multiplicity 4)
Y: 0.250 0.250 0.250 (multiplicity 4)
Cd: 0.000 0.000 0.500 (multiplicity 4)

Summary:
The calculated total energy is -5.009 eV/atom. The formation energy from the elements comes out at -117.0 meV per atom. As for the calculated volume: 28.046 Å³/atom. The magnetic moment comes out at 29.2 μB/cell.